VASP calculation (PBE-GGA) on crystalline BaIn2Pt at its relaxed geometry.

Output
crystal system: tetragonal
energy relative to the elements: -394 meV/atom

abc: 3.5736 3.5736 8.1670
angles: 90.00 90.00 90.00
Closest atoms and distances in Å follow each position.
Space group P4/mmm (No. 123)
Inequivalent atoms, fractional coordinates:
Ba 0.0000 0.0000 0.0000 (multiplicity 1)  4 Ba 3.57, 8 In 3.62
In 0.5000 0.5000 0.3176 (multiplicity 2)  4 Pt 2.93, 1 In 2.98
Pt 0.0000 0.0000 0.5000 (multiplicity 1)  8 In 2.93

***

VASP calculation (PBE-GGA) on crystalline CsVS at its relaxed geometry.

Output
crystal system: monoclinic
E_form (uncorrected): -0.352 eV per atom

abc: 13.5826 4.2029 7.5711
angles: 90.00 115.14 90.00
Closest atoms and distances in Å follow each position.
Space group C2/m (No. 12)
Inequivalent atoms, fractional coordinates:
Cs 0.0811 0.0000 0.3111 (multiplicity 4)  5 S 3.58-3.91, 1 V 3.78
V 0.2260 0.0000 0.8981 (multiplicity 4)  3 S 2.30-2.31, 2 V 2.52
S 0.1769 0.5000 0.7670 (multiplicity 4)  3 V 2.30-2.31

***

VASP calculation (PBE-GGA) on crystalline Be4TcOs at its relaxed geometry.

Output
crystal system: cubic
energy relative to the elements: -354 meV/atom

abc: 6.1586 6.1586 6.1586
angles: 90.00 90.00 90.00
Closest atoms and distances in Å follow each position.
Space group F-43m (No. 216)
Inequivalent atoms, fractional coordinates:
Be 0.1247 0.1247 0.1247 (multiplicity 16)  6 Be 2.17-2.18
Tc 0.2500 0.2500 0.7500 (multiplicity 4)  12 Be 2.55, 4 Os 2.67
Os 0.0000 0.0000 0.5000 (multiplicity 4)  12 Be 2.55, 4 Tc 2.67

***

VASP calculation (PBE-GGA) on crystalline CdHgAs at its relaxed geometry.

Output
crystal system: trigonal
energy relative to the elements: 215 meV/atom

abc: 3.2107 3.2107 7.5266
angles: 90.00 90.00 120.00
Closest atoms and distances in Å follow each position.
Space group P3m1 (No. 156)
Inequivalent atoms, fractional coordinates:
Cd 0.0000 0.0000 0.0000 (multiplicity 1)  3 As 3.01, 3 Hg 3.14, 6 Cd 3.21
Hg 0.6667 0.3333 0.3368 (multiplicity 1)  3 Cd 3.14, 3 As 3.21, 6 Hg 3.21
As 0.3333 0.6667 0.6849 (multiplicity 1)  3 Cd 3.01, 3 Hg 3.21, 6 As 3.21

***

VASP calculation (PBE-GGA) on crystalline Sr2ReBr at its relaxed geometry.

Output
crystal system: orthorhombic
E_form (uncorrected): 0.220 eV per atom

abc: 5.3857 3.5304 11.8908
angles: 90.00 90.00 90.00
Closest atoms and distances in Å follow each position.
Space group Amm2 (No. 38)
Inequivalent atoms, fractional coordinates:
Sr 0.0000 0.0000 0.0000 (multiplicity 2)  3 Re 3.08-3.37, 4 Br 3.23
Sr 0.5000 0.0000 0.2595 (multiplicity 2)  3 Br 3.13-3.33, 4 Re 3.23
Re 0.0000 0.0000 0.7413 (multiplicity 2)  7 Sr 3.08-3.37
Br 0.5000 0.0000 0.5225 (multiplicity 2)  7 Sr 3.13-3.33

***

VASP calculation (PBE-GGA) on crystalline Rb4La3TbTe8 at its relaxed geometry.

Output
crystal system: trigonal
E_form (uncorrected): -1.464 eV per atom

abc: 9.3870 9.3870 25.6253
angles: 90.00 90.00 120.00
Closest atoms and distances in Å follow each position.
Space group R-3m (No. 166, hexagonal axes)
Inequivalent atoms, fractional coordinates:
Rb 0.0000 0.0000 0.0000 (multiplicity 3)  6 Te 3.76
Rb 0.0000 0.5000 0.0000 (multiplicity 9)  6 Te 3.68
La 0.0000 0.5000 0.5000 (multiplicity 9)  6 Te 3.24-3.25
Tb 0.0000 0.0000 0.5000 (multiplicity 3)  6 Te 3.16
Te 0.0000 0.0000 0.2360 (multiplicity 6)  3 La 3.24
Te 0.0094 0.5047 0.2345 (multiplicity 18)  1 Tb 3.16, 2 La 3.25

***

VASP calculation (PBE-GGA) on crystalline La18In3Co28 at its relaxed geometry.

Output
crystal system: tetragonal
energy relative to the elements: -150 meV/atom

abc: 14.4387 14.4387 9.5024
angles: 90.00 90.00 90.00
Closest atoms and distances in Å follow each position.
Space group I4/mmm (No. 139)
Inequivalent atoms, fractional coordinates:
La 0.0000 0.2406 0.0000 (multiplicity 8)  6 Co 2.90-3.06
La 0.0000 0.2493 0.5000 (multiplicity 8)  6 Co 2.88-2.97
La 0.0000 0.5000 0.0000 (multiplicity 4)  16 Co 2.99-3.23
La 0.1661 0.1661 0.2581 (multiplicity 16)  6 Co 2.91-2.98
In 0.0000 0.0000 0.1616 (multiplicity 4)  2 In 3.07-3.22
In 0.0000 0.0000 0.5000 (multiplicity 2)  2 In 3.22, 4 La 3.60
Co 0.0000 0.3733 0.2504 (multiplicity 16)  6 Co 2.44-2.59
Co 0.1457 0.3516 0.1243 (multiplicity 32)  5 Co 2.36-2.47
Co 0.2461 0.2461 0.0000 (multiplicity 8)  4 Co 2.41

***

VASP calculation (PBE-GGA) on crystalline BaInIBr2 at its relaxed geometry.

Output
crystal system: monoclinic
E_form (uncorrected): -1.453 eV per atom

abc: 8.9107 5.3470 10.4371
angles: 90.00 105.60 90.00
Closest atoms and distances in Å follow each position.
Space group P2_1/m (No. 11)
Inequivalent atoms, fractional coordinates:
Ba 0.2457 0.2500 0.4375 (multiplicity 2)  4 Br 3.28-3.32, 3 I 3.56-3.58
In 0.2347 0.7500 0.0008 (multiplicity 2)  3 Br 3.12-3.16
I 0.1680 0.7500 0.6387 (multiplicity 2)  3 Ba 3.56-3.58, 1 In 3.66
Br 0.1274 0.2500 0.1115 (multiplicity 2)  3 In 3.12-3.16, 1 Ba 3.28
Br 0.4100 0.7500 0.3446 (multiplicity 2)  3 Ba 3.29-3.32, 1 In 3.51

***

VASP calculation (PBE-GGA) on crystalline CaNd15Sm4 at its relaxed geometry.

Output
crystal system: tetragonal
energy relative to the elements: 23 meV/atom

abc: 5.2124 5.2124 25.9318
angles: 90.00 90.00 90.00
Closest atoms and distances in Å follow each position.
Space group P4/mmm (No. 123)
Inequivalent atoms, fractional coordinates:
Ca 0.0000 0.0000 0.0000 (multiplicity 1)  12 Nd 3.69-3.73
Nd 0.0000 0.5000 0.1030 (multiplicity 4)  8 Nd 3.63-3.73, 2 Sm 3.63, 2 Ca 3.73
Nd 0.0000 0.5000 0.3010 (multiplicity 4)  8 Nd 3.66-3.69, 4 Sm 3.67-3.68
Nd 0.0000 0.5000 0.5000 (multiplicity 2)  4 Sm 3.67, 8 Nd 3.68-3.69
Nd 0.5000 0.5000 0.0000 (multiplicity 1)  4 Ca 3.69, 8 Nd 3.73
Nd 0.5000 0.5000 0.2004 (multiplicity 2)  8 Nd 3.63-3.69, 4 Sm 3.69
Nd 0.5000 0.5000 0.4000 (multiplicity 2)  8 Nd 3.66-3.68, 4 Sm 3.69
Sm 0.0000 0.0000 0.2006 (multiplicity 2)  12 Nd 3.63-3.69
Sm 0.0000 0.0000 0.4004 (multiplicity 2)  12 Nd 3.67-3.69

***

VASP calculation (PBE-GGA) on crystalline LaNd4Dy4 at its relaxed geometry.

Output
crystal system: tetragonal
energy relative to the elements: 20 meV/atom

abc: 10.8933 10.8933 5.1202
angles: 90.00 90.00 90.00
Closest atoms and distances in Å follow each position.
Space group I4/mmm (No. 139)
Inequivalent atoms, fractional coordinates:
La 0.0000 0.0000 0.0000 (multiplicity 2)  4 Nd 3.61, 8 Dy 3.64
Nd 0.0000 0.3318 0.0000 (multiplicity 8)  1 La 3.61, 6 Dy 3.62, 5 Nd 3.64-3.66
Dy 0.1676 0.1676 0.5000 (multiplicity 8)  4 Dy 3.61-3.65, 6 Nd 3.62, 2 La 3.64

***

VASP calculation (PBE-GGA) on crystalline KAs4ClO6 at its relaxed geometry.

Output
crystal system: hexagonal
E_form (uncorrected): -1.337 eV per atom

abc: 5.3327 5.3327 9.2082
angles: 90.00 90.00 120.00
Closest atoms and distances in Å follow each position.
Space group P6/mmm (No. 191)
Inequivalent atoms, fractional coordinates:
K 0.0000 0.0000 0.0000 (multiplicity 1)  12 O 3.19
As 0.3333 0.6667 0.2979 (multiplicity 4)  3 O 1.84
Cl 0.0000 0.0000 0.5000 (multiplicity 1)  12 As 3.60, 12 O 3.91
O 0.0000 0.5000 0.1894 (multiplicity 6)  2 As 1.84

***

VASP calculation (PBE-GGA) on crystalline Mg2TaSe2 at its relaxed geometry.

Output
crystal system: tetragonal
E_form (uncorrected): 0.167 eV per atom

abc: 3.5047 3.5047 16.9047
angles: 90.00 90.00 90.00
Closest atoms and distances in Å follow each position.
Space group I4/mmm (No. 139)
Inequivalent atoms, fractional coordinates:
Mg 0.0000 0.5000 0.2500 (multiplicity 4)  4 Mg 2.48
Ta 0.0000 0.0000 0.0000 (multiplicity 2)  8 Se 2.89
Se 0.0000 0.0000 0.4119 (multiplicity 4)  4 Ta 2.89, 1 Se 2.98